No. 1
Here is a geometry-optimized LaTmRu structure from Alexandria via LeMat-Bulk. Energies are from PBE.

Lattice parameters (Å, degrees): 6.895 6.612 7.608 92.47 90.00 90.00
Atoms (fractional coordinates):
La1 0.073 0.732 0.391
La2 0.927 0.268 0.609
La3 0.573 0.768 0.109
La4 0.427 0.232 0.891
Tm1 0.571 0.740 0.608
Tm2 0.929 0.240 0.108
Tm3 0.071 0.760 0.892
Tm4 0.429 0.260 0.392
Ru1 0.758 0.008 0.833
Ru2 0.258 0.492 0.667
Ru3 0.742 0.508 0.333
Ru4 0.242 0.992 0.167

Output
The energy above the most stable polymorph in this dataset is 0.0059 eV per atom. The calculation puts the formation enthalpy at 0 K at -80 kJ/mol of formula units. Its total energy is -6.502 eV per atom. The symmetry is P2_1/c (14).

No. 2
Here is a geometry-optimized AgSn3Cl structure from Alexandria via LeMat-Bulk. Energies are from PBE.

Lattice parameters (Å, degrees): 5.419 5.419 5.419 90.00 90.00 90.00
Atoms (fractional coordinates):
Sn1 0.500 0.000 0.000
Sn2 0.000 0.500 0.000
Sn3 0.000 0.000 0.500
Ag1 0.000 0.000 0.000
Cl1 0.500 0.500 0.500

Output
The energy above the most stable polymorph in this dataset is 0.0000 eV per atom. As for the uncorrected formation energy: 0.285 eV per atom. Its total energy is -3.056 eV per atom. The symmetry is Pm-3m (221).

No. 3
Here is a geometry-optimized Tl2Sb2Pt structure from Alexandria via LeMat-Bulk. Energies are from PBE.

Lattice parameters (Å, degrees): 6.873 6.873 6.114 90.00 90.00 90.00
Atoms (fractional coordinates):
Sb1 0.354 0.854 0.000
Sb2 0.146 0.354 0.000
Sb3 0.854 0.646 0.000
Sb4 0.646 0.146 0.000
Tl1 0.674 0.826 0.500
Tl2 0.326 0.174 0.500
Tl3 0.174 0.674 0.500
Tl4 0.826 0.326 0.500
Pt1 0.500 0.500 0.000
Pt2 0.000 0.000 0.000

Output
The energy above the most stable polymorph in this dataset is 0.0000 eV per atom. As for the uncorrected formation energy: -0.137 eV per atom. Its total energy is -3.941 eV per atom. The symmetry is P4/mbm (127).

No. 4
Here is a geometry-optimized Y2ErHfN4 structure from Alexandria via LeMat-Bulk. Energies are from PBE.

Lattice parameters (Å, degrees): 3.376 5.860 5.871 109.21 90.00 90.00
Atoms (fractional coordinates):
Er1 0.500 0.500 0.000
N1 0.000 0.242 0.763
N2 0.500 0.233 0.231
N3 0.500 0.767 0.769
N4 0.000 0.758 0.237
Hf1 0.000 0.000 0.000
Y1 0.000 0.500 0.500
Y2 0.500 0.000 0.500

Output
As for the uncorrected formation energy: -1.771 eV per atom. Its total energy is -9.364 eV per atom. The symmetry is P2/m (10).

No. 5
Here is a geometry-optimized Ba2CaSb2 structure from Alexandria via LeMat-Bulk. Energies are from PBE.

Lattice parameters (Å, degrees): 9.564 9.564 4.220 90.00 90.00 90.00
Atoms (fractional coordinates):
Ba1 0.375 0.875 0.000
Ba2 0.875 0.625 0.000
Ba3 0.125 0.375 0.000
Ba4 0.625 0.125 0.000
Sb1 0.177 0.677 0.500
Sb2 0.323 0.177 0.500
Sb3 0.823 0.323 0.500
Sb4 0.677 0.823 0.500
Ca1 0.000 0.000 0.000
Ca2 0.500 0.500 0.000

Output
The energy above the most stable polymorph in this dataset is 0.3872 eV per atom. As for the uncorrected formation energy: -0.654 eV per atom. Its total energy is -3.472 eV per atom. The symmetry is P4/mbm (127).

No. 6
Here is a geometry-optimized RbTlSe2 structure from Alexandria via LeMat-Bulk. Energies are from PBE.

Lattice parameters (Å, degrees): 9.509 9.342 7.596 90.00 90.00 90.00
Atoms (fractional coordinates):
Rb1 0.375 0.852 0.571
Rb2 0.125 0.352 0.071
Rb3 0.875 0.648 0.571
Rb4 0.625 0.148 0.071
Tl1 0.928 0.201 0.500
Tl2 0.428 0.299 0.500
Tl3 0.072 0.799 0.000
Tl4 0.572 0.701 0.000
Se1 0.197 0.153 0.711
Se2 0.697 0.347 0.711
Se3 0.711 0.974 0.468
Se4 0.303 0.653 0.211
Se5 0.803 0.847 0.211
Se6 0.211 0.526 0.468
Se7 0.289 0.026 0.968
Se8 0.789 0.474 0.968

Output
The energy above the most stable polymorph in this dataset is 0.0910 eV per atom. As for the uncorrected formation energy: -0.576 eV per atom. Its total energy is -3.152 eV per atom. The symmetry is Pna2_1 (33).

No. 7
Here is a geometry-optimized NaBi4Pt structure from Alexandria via LeMat-Bulk. Energies are from PBE.

Lattice parameters (Å, degrees): 6.742 6.959 8.502 105.92 107.06 90.26
Atoms (fractional coordinates):
Bi1 0.579 0.902 0.185
Bi2 0.688 0.449 0.187
Bi3 0.421 0.098 0.815
Bi4 0.668 0.401 0.618
Bi5 0.312 0.551 0.813
Bi6 0.332 0.599 0.382
Bi7 0.917 0.897 0.614
Bi8 0.083 0.103 0.386
Pt1 0.500 0.000 0.500
Pt2 0.000 0.500 0.500
Na1 0.941 0.743 0.996
Na2 0.059 0.257 0.004

Output
The calculation puts the formation enthalpy at 0 K at -81 kJ/mol of formula units. Its total energy is -3.954 eV per atom. The symmetry is P-1 (2).

No. 8
Here is a geometry-optimized La2YIr structure from Alexandria via LeMat-Bulk. Energies are from PBE.

Lattice parameters (Å, degrees): 9.756 9.756 9.756 23.88 23.88 23.88
Atoms (fractional coordinates):
La1 0.025 0.025 0.025
La2 0.475 0.475 0.475
Ir1 0.750 0.750 0.750
Y1 0.250 0.250 0.250

Output
The energy above the most stable polymorph in this dataset is 0.1919 eV per atom. The calculation puts the formation enthalpy at 0 K at -117 kJ/mol of formula units. Its total energy is -6.598 eV per atom. The symmetry is R-3m (166).

No. 9
Here is a geometry-optimized Y2ScRh structure from Alexandria via LeMat-Bulk. Energies are from PBE.

Lattice parameters (Å, degrees): 5.055 5.055 5.055 60.00 60.00 60.00
Atoms (fractional coordinates):
Y1 0.000 0.000 0.000
Y2 0.250 0.250 0.250
Rh1 0.500 0.500 0.500
Sc1 0.750 0.750 0.750

Output
The energy above the most stable polymorph in this dataset is 0.3479 eV per atom. The calculation puts the formation enthalpy at 0 K at -43 kJ/mol of formula units. Its total energy is -6.765 eV per atom. The symmetry is F-43m (216).

No. 10
Here is a geometry-optimized RbInGaTe3 structure from Alexandria via LeMat-Bulk. Energies are from PBE.

Lattice parameters (Å, degrees): 4.690 9.549 10.706 109.74 90.00 90.00
Atoms (fractional coordinates):
Ga1 0.250 0.093 0.620
Ga2 0.750 0.907 0.380
Rb1 0.250 0.224 0.254
Rb2 0.750 0.776 0.746
Te1 0.250 0.800 0.448
Te2 0.750 0.486 0.176
Te3 0.250 0.110 0.872
Te4 0.250 0.514 0.824
Te5 0.750 0.890 0.128
Te6 0.750 0.200 0.552
In1 0.750 0.337 0.889
In2 0.250 0.663 0.111

Output
As for the uncorrected formation energy: -0.499 eV per atom. Its total energy is -3.192 eV per atom. The symmetry is P2_1/m (11).

Number 3 is which compound?
Tl2Sb2Pt